Entry 1:
A geometry-optimized Nd2SmZnS5 structure, computed with PBE-GGA.

abc: 3.900 8.692 12.117
angles: 90.00 90.00 102.96
Fractional positions:
1 S 0.022 0.045 0.028
2 S 0.681 0.362 0.857
3 S 0.703 0.406 0.189
4 S 0.978 0.955 0.528
5 S 0.319 0.638 0.357
6 S 0.491 0.982 0.757
7 S 0.350 0.701 0.014
8 S 0.297 0.594 0.689
9 S 0.650 0.299 0.514
10 S 0.509 0.018 0.257
11 Nd 0.873 0.746 0.837
12 Nd 0.127 0.254 0.337
13 Nd 0.883 0.766 0.188
14 Nd 0.117 0.234 0.688
15 Sm 0.812 0.624 0.526
16 Sm 0.188 0.376 0.026
17 Zn 0.455 0.910 0.430
18 Zn 0.545 0.090 0.930

Output
space-group type: No. 36
final energy: -51.75 eV/f.u.

---

Entry 2:
A geometry-optimized Pr2HoTl structure, computed with PBE-GGA.

abc: 3.599 3.599 12.605
angles: 81.79 81.79 60.00
Fractional positions:
1 Tl 0.000 0.000 0.000
2 Ho 0.500 0.500 0.500
3 Pr 0.911 0.911 0.268
4 Pr 0.089 0.089 0.732

Output
space-group type: No. 166
final energy: -16.20 eV/f.u.
energy of formation: 0.08 eV per atom

---

Entry 3:
A geometry-optimized TaGeSb2I structure, computed with PBE-GGA.

abc: 5.417 5.417 5.463
angles: 90.00 90.00 90.00
Fractional positions:
1 Ge 0.500 0.500 0.500
2 Sb 0.000 0.500 0.000
3 Sb 0.500 0.000 0.000
4 Ta 0.000 0.000 0.000
5 I 0.000 0.000 0.500

Output
space-group type: No. 123
final energy: -22.68 eV/f.u.

---

Entry 4:
A geometry-optimized CdGaPt2 structure, computed with PBE-GGA.

abc: 7.155 7.155 5.791
angles: 51.84 51.84 90.00
Fractional positions:
1 Ga 0.500 0.500 0.000
2 Ga 0.250 0.750 0.500
3 Pt 0.161 0.625 0.250
4 Pt 0.875 0.839 0.750
5 Pt 0.375 0.411 0.750
6 Pt 0.589 0.125 0.250
7 Cd 0.750 0.250 0.500
8 Cd 0.000 0.000 0.000

Output
space-group type: No. 122
final energy: -17.00 eV/f.u.
energy of formation: -0.25 eV per atom

---

Entry 5:
A geometry-optimized Co2MoHIr structure, computed with PBE-GGA.

abc: 4.644 3.099 4.644
angles: 90.00 90.00 90.00
Fractional positions:
1 Ir 0.000 0.000 0.000
2 Co 0.000 0.000 0.500
3 Co 0.500 0.000 0.000
4 H 0.000 0.500 0.000
5 Mo 0.500 0.500 0.500

Output
space-group type: No. 123
final energy: -32.23 eV/f.u.

---

Entry 6:
A geometry-optimized Zr2CdHPd structure, computed with PBE-GGA.

abc: 4.263 4.263 4.484
angles: 90.00 90.00 90.00
Fractional positions:
1 H 0.000 0.000 0.000
2 Cd 0.000 0.000 0.500
3 Zr 0.000 0.500 0.000
4 Zr 0.500 0.000 0.000
5 Pd 0.500 0.500 0.500

Output
space-group type: No. 123
final energy: -28.00 eV/f.u.

---

Entry 7:
A geometry-optimized Er2Tm3Pb4 structure, computed with PBE-GGA.

abc: 4.897 6.776 8.446
angles: 104.77 106.85 90.00
Fractional positions:
1 Pb 0.489 0.717 0.977
2 Pb 0.246 0.314 0.492
3 Pb 0.754 0.686 0.508
4 Pb 0.511 0.283 0.023
5 Tm 0.113 0.592 0.226
6 Tm 0.887 0.408 0.774
7 Tm 0.000 0.000 0.000
8 Er 0.671 0.062 0.341
9 Er 0.329 0.938 0.659

Output
space-group type: No. 12
final energy: -40.78 eV/f.u.
energy of formation: -0.38 eV per atom

---

Entry 8:
A geometry-optimized Pm2SmTh structure, computed with PBE-GGA.

abc: 3.630 3.630 23.566
angles: 90.00 90.00 120.00
Fractional positions:
1 Pm 0.333 0.667 0.377
2 Pm 0.667 0.333 0.623
3 Pm 0.667 0.333 0.877
4 Pm 0.333 0.667 0.123
5 Th 0.000 0.000 0.000
6 Th 0.000 0.000 0.500
7 Sm 0.667 0.333 0.250
8 Sm 0.333 0.667 0.750

Output
space-group type: No. 194
final energy: -21.55 eV/f.u.
energy of formation: 0.02 eV per atom

---

Entry 9:
A geometry-optimized Pm8Co2S structure, computed with PBE-GGA.

abc: 3.814 8.842 9.475
angles: 95.12 101.61 90.00
Fractional positions:
1 Pm 0.604 0.561 0.209
2 Pm 0.783 0.674 0.566
3 Pm 0.985 0.775 0.970
4 Pm 0.396 0.439 0.791
5 Pm 0.015 0.225 0.030
6 Pm 0.655 0.973 0.311
7 Pm 0.217 0.326 0.434
8 Pm 0.345 0.027 0.689
9 Co 0.823 0.249 0.646
10 Co 0.177 0.751 0.354
11 S 0.500 0.000 0.000

Output
space-group type: No. 12
final energy: -60.33 eV/f.u.

---

Entry 10:
A geometry-optimized Mg4Te structure, computed with PBE-GGA.

abc: 8.501 8.501 8.501
angles: 152.53 152.53 39.24
Fractional positions:
1 Te 0.000 0.000 0.000
2 Mg 0.594 0.594 0.000
3 Mg 0.406 0.406 0.000
4 Mg 0.250 0.750 0.500
5 Mg 0.750 0.250 0.500

Output
space-group type: No. 139
final energy: -9.59 eV/f.u.

---

Entry 11:
A geometry-optimized ZrOs2Pt structure, computed with PBE-GGA.

abc: 4.897 4.897 4.897
angles: 131.61 131.62 70.84
Fractional positions:
1 Os 0.000 0.000 0.000
2 Os 0.750 0.250 0.500
3 Zr 0.250 0.750 0.500
4 Pt 0.500 0.500 0.000

Output
space-group type: No. 119
final energy: -38.12 eV/f.u.
energy of formation: -0.27 eV per atom

---

Entry 12:
A geometry-optimized Ca2FeBAu structure, computed with PBE-GGA.

abc: 5.675 4.055 5.675
angles: 90.00 90.00 90.00
Fractional positions:
1 Fe 0.500 0.500 0.500
2 Ca 0.500 0.000 0.000
3 Ca 0.000 0.000 0.500
4 B 0.000 0.500 0.000
5 Au 0.000 0.000 0.000

Output
space-group type: No. 123
final energy: -19.75 eV/f.u.
energy of formation: 0.53 eV per atom